A relaxed structure of Tl2BI, computed with PBE.

Calculated values
E above lowest polymorph	2.823	eV/f.u.
formation energy from raw total energies	1.00	eV/atom
symmetry	Fm-3m, No. 225

Lattice parameters (Å, degrees): 5.591 5.591 5.591 60.00 60.00 60.00
Atoms (fractional coordinates):
Tl 0.250 0.250 0.250
Tl 0.750 0.750 0.750
B 0.000 0.000 0.000
I 0.500 0.500 0.500

=====

A relaxed structure of La10Pr4Th, computed with PBE.

Calculated values
symmetry	I4/mmm, No. 139
energy of formation from the pure elements	17.3	kJ/mol of atoms

Lattice parameters (Å, degrees): 9.183 9.183 9.183 101.60 101.60 126.72
Atoms (fractional coordinates):
La 0.007 0.794 0.213
La 0.206 0.419 0.213
La 0.206 0.993 0.787
La 0.250 0.750 0.500
La 0.419 0.206 0.213
La 0.581 0.794 0.787
La 0.750 0.250 0.500
La 0.794 0.007 0.213
La 0.794 0.581 0.787
La 0.993 0.206 0.787
Pr 0.278 0.278 0.556
Pr 0.278 0.722 0.000
Pr 0.722 0.278 0.000
Pr 0.722 0.722 0.444
Th 0.500 0.500 0.000

=====

A relaxed structure of Er2PaS3, computed with PBE.

Calculated values
formation energy from raw total energies	-1.81	eV/atom
symmetry	C2/m, No. 12

Lattice parameters (Å, degrees): 6.670 6.670 6.774 99.47 99.47 119.99
Atoms (fractional coordinates):
Er 0.000 0.000 0.000
Er 0.165 0.835 0.500
Er 0.500 0.500 0.500
Er 0.835 0.165 0.500
Pa 0.333 0.667 0.000
Pa 0.667 0.333 0.000
S 0.085 0.416 0.255
S 0.246 0.246 0.746
S 0.416 0.085 0.255
S 0.584 0.915 0.745
S 0.754 0.754 0.254
S 0.915 0.584 0.745

=====

A relaxed structure of SrRuRhO6, computed with PBE.

Calculated values
formation energy from raw total energies	-1.32	eV/atom
symmetry	P312, No. 149

Lattice parameters (Å, degrees): 5.306 5.306 5.244 90.00 90.00 120.00
Atoms (fractional coordinates):
Sr 0.000 0.000 0.000
Ru 0.667 0.333 0.500
Rh 0.333 0.667 0.500
O 0.388 0.007 0.297
O 0.388 0.381 0.703
O 0.619 0.007 0.703
O 0.619 0.612 0.297
O 0.993 0.381 0.297
O 0.993 0.612 0.703